VASP calculation (GGA-PBEsol) on an optimized crystal structure of Li4Ti5O12.

CIF file:
```
data_Li4Ti5O12
_chemical_formula_sum 'Li8 Ti10 O24'
_symmetry_space_group_name_H-M 'P -1'
_symmetry_Int_Tables_number 2
_cell_length_a 5.2157
_cell_length_b 9.3018
_cell_length_c 9.7630
_cell_angle_alpha 73.32
_cell_angle_beta 78.88
_cell_angle_gamma 79.26
loop_
_symmetry_equiv_pos_as_xyz
'x,y,z'
'-x,-y,-z'
loop_
_atom_site_label
_atom_site_fract_x
_atom_site_fract_y
_atom_site_fract_z
_atom_site_occupancy
Li1 0.1238 0.4121 0.4046 1
Li2 0.2715 0.9052 0.0229 1
Li3 0.3118 0.7746 0.5544 1
Li4 0.3309 0.5739 0.1135 1
Ti1 0.1388 0.5959 0.8488 1
Ti2 0.1598 0.0989 0.6745 1
Ti3 0.1915 0.2568 0.9340 1
Ti4 0.2907 0.1019 0.2760 1
Ti5 0.4317 0.4107 0.6460 1
O1 0.0519 0.2629 0.3039 1
O2 0.0596 0.4251 0.7773 1
O3 0.1025 0.0982 0.8619 1
O4 0.1426 0.9301 0.3790 1
O5 0.1582 0.7311 0.9529 1
O6 0.2368 0.4231 0.0119 1
O7 0.2628 0.5698 0.4848 1
O8 0.3128 0.2614 0.5674 1
O9 0.3512 0.1004 0.0892 1
O10 0.3938 0.9279 0.6555 1
O11 0.4586 0.5768 0.7296 1
O12 0.4716 0.7309 0.1850 1
```

Summary:
As for the total moment: 0.0 μB/f.u. The value obtained for the density of states at the Fermi level is 0.0 states/eV/cell. The value obtained for the energy above the most stable polymorph in this dataset is 0.0375 eV per atom. The value obtained for the uncorrected formation energy is -2797 meV per atom.